Entry from Alexandria: a relaxed structure of Tb4TeIr (PBE).

Summary:
Uncorrected formation energy ... -0.54 eV/atom
E ... -5.63 eV/atom
SG ... No. 12
Polymorph energy (0 for the lowest one) ... 283.0 meV/atom

a b c (Å): 5.4608 10.6700 9.6781
angles (deg): 120.20 90.00 104.83
Sites, in units of the cell vectors:
Tb 0.2462 0.4924 0.6747
Tb 0.9689 0.9377 0.6410
Tb 0.0311 0.0623 0.3590
Ir 0.1142 0.2285 0.6809
Tb 0.1983 0.3966 0.0058
Tb 0.8017 0.6034 0.9942
Tb 0.7538 0.5076 0.3253
Ir 0.8858 0.7715 0.3191
Te 0.8310 0.6620 0.7065
Tb 0.6045 0.2091 0.6873
Tb 0.3955 0.7909 0.3127
Te 0.1690 0.3380 0.2935